Entry 1:
Below is a relaxed structure of Ti2Ge2Ir, with properties calculated at the PBE-GGA level.

Unit cell a=6.3381 b=6.3381 c=3.9402 alpha=90.00 beta=90.00 gamma=90.00
Space group P4/mbm (No. 127)
One atom of each set of equivalent atoms:
Ti 0.1633 0.3367 0.0000
Ge 0.1394 0.6394 0.5000
Ir 0.0000 0.0000 0.5000

Summary:
As for the density of states at the Fermi level: 6.94 states/eV/cell. The theoretical density comes out at 9.09 g/cm3. For the total magnetic moment, the calculation gives 0.000 μB/atom. The formation energy comes out at -0.631 eV per atom.

Entry 2:
Below is a relaxed structure of PmSm6Y2Ho, with properties calculated at the PBE-GGA level.

Unit cell a=9.3265 b=15.1999 c=9.5571 alpha=90.00 beta=96.12 gamma=90.00
Space group C2/c (No. 15)
One atom of each set of equivalent atoms:
Pm 0.0000 0.0315 0.2500
Sm 0.0619 0.1786 0.9430
Sm 0.0947 0.3874 0.1166
Sm 0.2147 0.2244 0.3149
Y 0.2479 0.4513 0.4510
Ho 0.0000 0.4105 0.7500

Summary:
As for the density of states at the Fermi level: 59.04 states/eV/cell. The theoretical density comes out at 6.85 g/cm3. For the total magnetic moment, the calculation gives 0.000 μB/atom. The formation energy comes out at 0.120 eV per atom.

Entry 3:
Below is a relaxed structure of SnGe2Mo2, with properties calculated at the PBE-GGA level.

Unit cell a=3.6024 b=3.6024 c=13.5659 alpha=90.00 beta=90.00 gamma=90.00
Space group I4/mmm (No. 139)
One atom of each set of equivalent atoms:
Sn 0.0000 0.0000 0.0000
Ge 0.0000 0.5000 0.2500
Mo 0.0000 0.0000 0.3931

Summary:
As for the density of states at the Fermi level: 7.12 states/eV/cell. The theoretical density comes out at 8.60 g/cm3. For the total magnetic moment, the calculation gives 0.112 μB/atom. The formation energy comes out at 0.115 eV per atom.

Entry 4:
Below is a relaxed structure of TlTcBi2Ru, with properties calculated at the PBE-GGA level.

Unit cell a=5.3452 b=5.3452 c=4.7569 alpha=90.00 beta=90.00 gamma=90.00
Space group P4/mmm (No. 123)
One atom of each set of equivalent atoms:
Tl 0.0000 0.0000 0.0000
Tc 0.5000 0.5000 0.5000
Bi 0.0000 0.5000 0.5000
Ru 0.5000 0.5000 0.0000

Summary:
As for the density of states at the Fermi level: 4.13 states/eV/cell. The theoretical density comes out at 10.04 g/cm3. For the total magnetic moment, the calculation gives 0.000 μB/atom. The formation energy comes out at 0.870 eV per atom.